LaYSc2 | SCAN | single point on PBEsol structure

The structure belongs to space group I4/mmm (No. 139); the cell edges are 5.028, 5.028 and 8.784 Å and the angles 90.00°, 90.00° and 90.00°. The distinct sites, in fractional coordinates, are La at (0.000, 0.000, 0.000), Y at (0.000, 0.000, 0.500) and Sc at (0.000, 0.500, 0.250).

The polymorph energy (0 for the lowest one) comes out at 13 meV/atom. Its total energy is -24.773 eV per atom. The value obtained for the spin magnetization is 0.001 μB/atom.